[1]
First-principles (GGA-PBE) data for UTiMo after structural relaxation, as listed in Alexandria via LeMat-Bulk.

- Formation enthalpy at 0 K: 0.31 eV/atom
- Total energy: -9.6944 eV/atom
- Total magnetic moment: 0.742 Bohr magnetons per cell
- Symmetry: No. 51
- Energy relative to the lowest polymorph listed for this composition: 0.0 meV/atom

Cell lengths 5.1814, 2.7095, 7.6072 Å; angles 90.00, 90.00, 90.00 degrees
With the nearest neighbours (Å) after each atom.
Sites, in units of the cell vectors:
U 0.0000 0.0000 0.0000  4 U 2.59-2.71
U 0.5000 0.0000 0.0000  4 U 2.59-2.71
Ti 0.2500 0.0000 0.3452  6 Mo 2.70-2.92, 2 Ti 2.71, 2 U 2.93
Ti 0.7500 0.0000 0.6548  6 Mo 2.70-2.92, 2 Ti 2.71, 2 U 2.93
Mo 0.2500 0.5000 0.6520  6 Ti 2.70-2.92, 2 Mo 2.71
Mo 0.7500 0.5000 0.3480  6 Ti 2.70-2.92, 2 Mo 2.71

[2]
First-principles (GGA-PBE) data for Cr4CdBr after structural relaxation, as listed in Alexandria via LeMat-Bulk.

- Raw formation energy: 0.89 eV per atom
- Total energy: -5.9538 eV/atom
- Total magnetic moment: 0.000 Bohr magnetons per cell
- Symmetry: No. 216

Cell lengths 5.0033, 5.0033, 5.0033 Å; angles 60.00, 60.00, 60.00 degrees
With the nearest neighbours (Å) after each atom.
Sites, in units of the cell vectors:
Cr 0.1241 0.1241 0.1241  6 Cr 2.48-2.52
Cr 0.1241 0.1241 0.6278  6 Cr 2.48-2.52
Cr 0.1241 0.6278 0.1241  6 Cr 2.48-2.52
Cr 0.6278 0.1241 0.1241  6 Cr 2.48-2.52
Cd 0.5000 0.5000 0.5000  12 Cr 2.94, 4 Br 3.06
Br 0.7500 0.7500 0.7500  12 Cr 2.93, 4 Cd 3.06

[3]
First-principles (GGA-PBE) data for Nd2Y3Sn4 after structural relaxation, as listed in Alexandria via LeMat-Bulk.

- Formation enthalpy at 0 K: -0.82 eV/atom
- Total energy: -5.8083 eV/atom
- Total magnetic moment: 0.000 Bohr magnetons per cell
- Symmetry: No. 14
- Energy relative to the lowest polymorph listed for this composition: 0.0 meV/atom

Cell lengths 8.3593, 8.3523, 8.0506 Å; angles 90.00, 110.42, 90.00 degrees
With the nearest neighbours (Å) after each atom.
Sites, in units of the cell vectors:
Nd 0.1927 0.1783 0.0628  6 Sn 3.20-3.57
Nd 0.1927 0.3217 0.5628  6 Sn 3.20-3.57
Nd 0.8073 0.6783 0.4372  6 Sn 3.20-3.57
Nd 0.8073 0.8217 0.9372  6 Sn 3.20-3.57
Y 0.2466 0.6680 0.2412  6 Sn 3.05-3.22
Y 0.2466 0.8320 0.7412  6 Sn 3.05-3.22
Y 0.5000 0.0000 0.5000  6 Sn 3.17-3.29
Y 0.5000 0.5000 0.0000  6 Sn 3.17-3.29
Y 0.7534 0.1680 0.2588  6 Sn 3.05-3.22
Y 0.7534 0.3320 0.7588  6 Sn 3.05-3.22
Sn 0.0825 0.5385 0.8408  4 Y 3.05-3.29, 1 Nd 3.25, 1 Sn 3.37
Sn 0.0825 0.9615 0.3408  4 Y 3.05-3.29, 1 Nd 3.25, 1 Sn 3.37
Sn 0.4882 0.1347 0.8636  1 Sn 3.10, 5 Y 3.11-3.23, 2 Nd 3.20-3.40
Sn 0.4882 0.3653 0.3636  1 Sn 3.10, 5 Y 3.11-3.23, 2 Nd 3.20-3.40
Sn 0.5118 0.6347 0.6364  1 Sn 3.10, 5 Y 3.11-3.23, 2 Nd 3.20-3.40
Sn 0.5118 0.8653 0.1364  1 Sn 3.10, 5 Y 3.11-3.23, 2 Nd 3.20-3.40
Sn 0.9175 0.0385 0.6592  4 Y 3.05-3.29, 1 Nd 3.25, 1 Sn 3.37
Sn 0.9175 0.4615 0.1592  4 Y 3.05-3.29, 1 Nd 3.25, 1 Sn 3.37

[4]
First-principles (GGA-PBE) data for Al3GaAg5 after structural relaxation, as listed in Alexandria via LeMat-Bulk.

- Formation enthalpy at 0 K: 0.16 eV/atom
- Total energy: -3.0059 eV/atom
- Total magnetic moment: 0.000 Bohr magnetons per cell
- Symmetry: No. 140

Cell lengths 7.7783, 7.7783, 7.7783 Å; angles 118.67, 118.67, 92.31 degrees
With the nearest neighbours (Å) after each atom.
Sites, in units of the cell vectors:
Al 0.1116 0.6116 0.7232  1 Al 2.50, 2 Ag 2.54
Al 0.2500 0.2500 0.0000  2 Ag 2.69
Al 0.3884 0.1116 0.5000  1 Al 2.50, 2 Ag 2.54
Al 0.6116 0.8884 0.5000  1 Al 2.50, 2 Ag 2.54
Al 0.7500 0.7500 0.0000  2 Ag 2.69
Al 0.8884 0.3884 0.2768  1 Al 2.50, 2 Ag 2.54
Ga 0.2500 0.7500 0.5000  4 Ag 2.58
Ga 0.7500 0.2500 0.5000  4 Ag 2.58
Ag 0.0000 0.0000 0.0000  2 Al 2.69
Ag 0.0690 0.1692 0.5000  1 Al 2.54, 1 Ga 2.58, 2 Ag 2.80-2.82
Ag 0.1692 0.6692 0.1001  1 Al 2.54, 1 Ga 2.58, 2 Ag 2.80-2.82
Ag 0.3308 0.4310 0.5000  1 Al 2.54, 1 Ga 2.58, 2 Ag 2.80-2.82
Ag 0.4310 0.9310 0.1001  1 Al 2.54, 1 Ga 2.58, 2 Ag 2.80-2.82
Ag 0.5000 0.5000 0.0000  2 Al 2.69
Ag 0.5690 0.0690 0.8999  1 Al 2.54, 1 Ga 2.58, 2 Ag 2.80-2.82
Ag 0.6692 0.5690 0.5000  1 Al 2.54, 1 Ga 2.58, 2 Ag 2.80-2.82
Ag 0.8308 0.3308 0.8999  1 Al 2.54, 1 Ga 2.58, 2 Ag 2.80-2.82
Ag 0.9310 0.8308 0.5000  1 Al 2.54, 1 Ga 2.58, 2 Ag 2.80-2.82

[5]
First-principles (GGA-PBE) data for TbPrTe3 after structural relaxation, as listed in Alexandria via LeMat-Bulk.

- Raw formation energy: -1.43 eV per atom
- Total energy: -5.1927 eV/atom
- Total magnetic moment: 0.000 Bohr magnetons per cell
- Symmetry: No. 63
- Energy relative to the lowest polymorph listed for this composition: 7.5 meV/atom

Cell lengths 7.4878, 7.4878, 10.8911 Å; angles 90.00, 90.00, 146.28 degrees
With the nearest neighbours (Å) after each atom.
Sites, in units of the cell vectors:
Tb 0.0000 0.0000 0.0000  6 Te 3.01-3.10
Tb 0.0000 0.0000 0.5000  6 Te 3.01-3.10
Pr 0.2490 0.7510 0.7500  6 Te 3.17-3.32
Pr 0.7510 0.2490 0.2500  6 Te 3.17-3.32
Te 0.0901 0.9099 0.2500  2 Tb 3.01, 2 Pr 3.17
Te 0.3535 0.6465 0.0631  2 Tb 3.10, 2 Pr 3.32
Te 0.3535 0.6465 0.4369  2 Tb 3.10, 2 Pr 3.32
Te 0.6465 0.3535 0.5631  2 Tb 3.10, 2 Pr 3.32
Te 0.6465 0.3535 0.9369  2 Tb 3.10, 2 Pr 3.32
Te 0.9099 0.0901 0.7500  2 Tb 3.01, 2 Pr 3.17

[6]
First-principles (GGA-PBE) data for Tb6Pr2Sm3Dy after structural relaxation, as listed in Alexandria via LeMat-Bulk.

- Formation enthalpy at 0 K: 0.01 eV/atom
- Total energy: -4.6617 eV/atom
- Total magnetic moment: 0.000 Bohr magnetons per cell
- Symmetry: No. 12

Cell lengths 6.2405, 6.2405, 11.9138 Å; angles 95.00, 95.00, 119.98 degrees
With the nearest neighbours (Å) after each atom.
Sites, in units of the cell vectors:
Tb 0.0836 0.4161 0.7508  3 Sm 3.59, 6 Tb 3.59-3.61, 1 Dy 3.60, 2 Pr 3.60-3.61
Tb 0.2487 0.2487 0.2489  3 Sm 3.58-3.59, 6 Tb 3.59-3.61, 1 Dy 3.60, 2 Pr 3.61
Tb 0.4161 0.0836 0.7508  3 Sm 3.59, 6 Tb 3.59-3.61, 1 Dy 3.60, 2 Pr 3.60-3.61
Tb 0.5839 0.9164 0.2492  3 Sm 3.59, 6 Tb 3.59-3.61, 1 Dy 3.60, 2 Pr 3.60-3.61
Tb 0.7513 0.7513 0.7511  3 Sm 3.58-3.59, 6 Tb 3.59-3.61, 1 Dy 3.60, 2 Pr 3.61
Tb 0.9164 0.5839 0.2492  3 Sm 3.59, 6 Tb 3.59-3.61, 1 Dy 3.60, 2 Pr 3.60-3.61
Pr 0.3335 0.6665 0.5000  3 Pr 3.60-3.61, 3 Dy 3.60, 6 Tb 3.60-3.61
Pr 0.6665 0.3335 0.5000  3 Pr 3.60-3.61, 3 Dy 3.60, 6 Tb 3.60-3.61
Sm 0.1666 0.8334 0.0000  6 Tb 3.58-3.59, 6 Sm 3.60
Sm 0.5000 0.5000 0.0000  6 Tb 3.59, 6 Sm 3.60
Sm 0.8334 0.1666 0.0000  6 Tb 3.58-3.59, 6 Sm 3.60
Dy 0.0000 0.0000 0.5000  6 Tb 3.60, 6 Pr 3.60

[7]
First-principles (GGA-PBE) data for CaCdO2F after structural relaxation, as listed in Alexandria via LeMat-Bulk.

- Raw formation energy: -1.59 eV per atom
- Total energy: -4.5279 eV/atom
- Total magnetic moment: 0.000 Bohr magnetons per cell
- Symmetry: No. 123

Cell lengths 4.1861, 4.1861, 4.3476 Å; angles 90.00, 90.00, 90.00 degrees
With the nearest neighbours (Å) after each atom.
Sites, in units of the cell vectors:
Ca 0.0000 0.0000 0.0000  4 F 2.96, 8 O 3.02
Cd 0.5000 0.5000 0.5000  4 O 2.09, 2 F 2.17
O 0.0000 0.5000 0.5000  2 Cd 2.09
O 0.5000 0.0000 0.5000  2 Cd 2.09
F 0.5000 0.5000 0.0000  2 Cd 2.17

[8]
First-principles (GGA-PBE) data for Li5Th2Cd12 after structural relaxation, as listed in Alexandria via LeMat-Bulk.

- Formation enthalpy at 0 K: -0.18 eV/atom
- Total energy: -2.0408 eV/atom
- Total magnetic moment: 0.000 Bohr magnetons per cell
- Symmetry: No. 166

Cell lengths 7.4595, 7.4595, 7.4595 Å; angles 82.55, 82.55, 82.55 degrees
With the nearest neighbours (Å) after each atom.
Sites, in units of the cell vectors:
Li 0.0000 0.0000 0.5000  8 Cd 2.81-2.84, 2 Li 3.00
Li 0.0000 0.5000 0.0000  8 Cd 2.81-2.84, 2 Li 3.00
Li 0.1000 0.1000 0.1000  4 Li 2.90-3.00, 9 Cd 3.02-3.24
Li 0.5000 0.0000 0.0000  8 Cd 2.81-2.84, 2 Li 3.00
Li 0.9000 0.9000 0.9000  4 Li 2.90-3.00, 9 Cd 3.02-3.24
Th 0.3471 0.3471 0.3471  15 Cd 3.49-3.82, 4 Li 3.58-3.86
Th 0.6529 0.6529 0.6529  15 Cd 3.49-3.82, 4 Li 3.58-3.86
Cd 0.0000 0.2947 0.7053  2 Li 2.84, 6 Cd 2.90-3.05
Cd 0.0000 0.7053 0.2947  2 Li 2.84, 6 Cd 2.90-3.05
Cd 0.1400 0.6537 0.6537  3 Li 2.81-3.02, 6 Cd 2.96-3.05
Cd 0.2947 0.0000 0.7053  2 Li 2.84, 6 Cd 2.90-3.05
Cd 0.2947 0.7053 0.0000  2 Li 2.84, 6 Cd 2.90-3.05
Cd 0.3463 0.3463 0.8600  3 Li 2.81-3.02, 6 Cd 2.96-3.05
Cd 0.3463 0.8600 0.3463  3 Li 2.81-3.02, 6 Cd 2.96-3.05
Cd 0.6537 0.1400 0.6537  3 Li 2.81-3.02, 6 Cd 2.96-3.05
Cd 0.6537 0.6537 0.1400  3 Li 2.81-3.02, 6 Cd 2.96-3.05
Cd 0.7053 0.0000 0.2947  2 Li 2.84, 6 Cd 2.90-3.05
Cd 0.7053 0.2947 0.0000  2 Li 2.84, 6 Cd 2.90-3.05
Cd 0.8600 0.3463 0.3463  3 Li 2.81-3.02, 6 Cd 2.96-3.05